(1)
PBE-GGA CaFeRh2, relaxed; DFT formation energy = 0.0781 eV/atom; DFT total energy = -6.214 eV per atom; SG = No. 71; density = 7.51 Mg/m³; excess energy over the best structure of this formula in the dataset = 210 meV per atom; total magnetic moment = 3.9 μB per formula unit
1.0
3.133 0.000 0.000
0.000 4.850 0.000
0.000 0.000 8.775
Ca Fe Rh
2 2 4
direct
0.000 0.000 0.000
0.500 0.500 0.500
0.000 0.000 0.500
0.500 0.500 0.000
0.000 0.500 0.222
0.000 0.500 0.778
0.500 0.000 0.278
0.500 0.000 0.722

---

(2)
PBE-GGA CaFeRh, relaxed; DFT formation energy = 0.3121 eV/atom; DFT total energy = -5.626 eV per atom; SG = No. 216; density = 5.26 Mg/m³; total magnetic moment = 3.7 μB per formula unit
1.0
6.308 0.000 0.000
0.000 6.308 0.000
0.000 0.000 6.308
Ca Fe Rh
4 4 4
direct
0.000 0.000 0.000
0.000 0.500 0.500
0.500 0.000 0.500
0.500 0.500 0.000
0.000 0.000 0.500
0.000 0.500 0.000
0.500 0.000 0.000
0.500 0.500 0.500
0.250 0.250 0.750
0.250 0.750 0.250
0.750 0.250 0.250
0.750 0.750 0.750

---

(3)
PBE-GGA CaFeRh2, relaxed; DFT formation energy = -0.0259 eV/atom; DFT total energy = -6.318 eV per atom; SG = No. 123; density = 7.72 Mg/m³; excess energy over the best structure of this formula in the dataset = 106 meV per atom; total magnetic moment = 4.4 μB per formula unit
1.0
4.513 0.000 0.000
0.000 4.513 0.000
0.000 0.000 3.185
Ca Fe Rh
1 1 2
direct
0.000 0.000 0.000
0.500 0.500 0.000
0.000 0.500 0.500
0.500 0.000 0.500

---

(4)
PBE-GGA CaFeRh2, relaxed; DFT formation energy = 0.1461 eV/atom; DFT total energy = -6.146 eV per atom; SG = No. 47; density = 7.67 Mg/m³; excess energy over the best structure of this formula in the dataset = 278 meV per atom; total magnetic moment = 3.9 μB per formula unit
1.0
3.180 0.000 0.000
0.000 4.301 0.000
0.000 0.000 4.774
Ca Fe Rh
1 1 2
direct
0.000 0.000 0.000
0.500 0.000 0.500
0.000 0.500 0.500
0.500 0.500 0.000